Computed, not measured: crystalline BeZnTc3 at its relaxed geometry at the PBE level of DFT.

a b c (Å): 4.140 4.140 4.140
angles (deg): 90.00 90.00 90.00
Fractional coordinates of all 5 atoms:
Be: 0.000 0.000 0.000
Zn: 0.500 0.500 0.500
Tc: 0.000 0.000 0.500
Tc: 0.000 0.500 0.000
Tc: 0.500 0.000 0.000

Summary:
mass density	8.62	g/cm3
relative energy among the computed polymorphs	0.0	kJ/mol of formula units
total DFT energy (no corrections)	-6.53	eV/atom
DFT formation energy	0.6855	eV/atom



Computed, not measured: crystalline ThGe2Pt5Au at its relaxed geometry at the PBE level of DFT.

a b c (Å): 4.252 4.252 9.234
angles (deg): 90.00 90.00 90.00
Fractional coordinates of all 9 atoms:
Th: 0.000 0.000 0.000
Ge: 0.500 0.500 0.372
Ge: 0.500 0.500 0.628
Pt: 0.000 0.500 0.232
Pt: 0.000 0.500 0.768
Pt: 0.500 0.000 0.232
Pt: 0.500 0.000 0.768
Pt: 0.500 0.500 0.000
Au: 0.000 0.000 0.500

Summary:
mass density	15.42	g/cm3
total DFT energy (no corrections)	-6.13	eV/atom
DFT formation energy	-0.5577	eV/atom